Record 1
PrHoMoN3 | Alexandria | PBE | optimized geometry; ΔE_f (raw) = -1169 meV per atom; space-group type = No. 11; total magnetization = 0.00 μB/atom
1.0
5.878 0.000 0.000
0.000 3.376 0.000
-1.972 0.000 8.293
Pr Ho Mo N
2 2 2 6
Cartesian
0.448 0.844 1.569
3.458 2.532 6.724
0.477 2.532 4.587
3.429 0.844 3.707
0.565 0.844 7.288
3.341 2.532 1.005
-0.896 0.844 5.577
-0.429 2.532 8.156
2.040 2.532 2.698
1.866 0.844 5.595
4.335 0.844 0.137
4.802 2.532 2.717


Record 2
HoScMo2N6 | Alexandria | PBE | optimized geometry; ΔE_f (raw) = -865 meV per atom; space-group type = No. 15; total magnetization = 0.00 μB/atom
1.0
5.665 -4.742 0.000
5.665 4.742 0.000
-2.625 0.000 5.626
Ho Sc Mo N
2 2 4 12
Cartesian
3.697 3.858 4.219
5.009 -3.858 1.406
5.009 2.149 1.406
3.697 -2.149 4.219
1.189 0.815 4.568
2.501 -0.815 1.755
6.205 0.815 3.870
7.517 -0.815 1.057
-0.496 1.026 3.762
2.060 2.359 4.751
0.816 -1.026 0.949
3.677 0.396 0.765
5.333 2.359 3.687
2.364 -0.396 3.578
6.341 0.396 2.048
3.372 -2.359 1.939
5.029 -0.396 4.860
7.890 1.026 4.676
6.646 -2.359 0.874
9.202 -1.026 1.864